## i
Computed, not measured: a relaxed TmRhAu crystal at the PBE level of DFT.

Results
Space-group type: P-6m2, No. 187
M_tot: 0.00 μB/cell

Cell: 3.3445 4.5584 4.5584 Å, 120.00 90.00 90.00°
Element x y z (fractional)
Au (0.1672, 0.0000, 0.0000)
Rh (0.1662, 0.3333, 0.6667)
Tm (0.6666, 0.6667, 0.3333)

## ii
Computed, not measured: a relaxed TmRhAu crystal at the PBE level of DFT.

Results
Space-group type: C2/m, No. 12
M_tot: 0.00 μB/cell

Cell: 4.3593 4.3474 9.3844 Å, 117.33 90.00 120.09°
Element x y z (fractional)
Au (0.8975, 0.7949, 0.0958)
Au (0.1025, 0.2051, 0.9042)
Rh (0.1602, 0.3203, 0.4902)
Tm (0.6405, 0.2810, 0.7119)
Tm (0.3595, 0.7190, 0.2881)
Rh (0.8398, 0.6797, 0.5098)

## iii
Computed, not measured: a relaxed TmRhAu crystal at the PBE level of DFT.

Results
Space-group type: Cmcm, No. 63
M_tot: 0.00 μB/cell

Cell: 4.8335 5.6249 4.7942 Å, 90.00 120.27 90.00°
Element x y z (fractional)
Au (0.0000, 0.5000, 0.5000)
Au (0.0000, 0.0000, 0.5000)
Rh (0.6701, 0.2500, 0.8402)
Tm (0.6654, 0.7500, 0.8307)
Tm (0.3346, 0.2500, 0.1693)
Rh (0.3299, 0.7500, 0.1598)

## iv
Computed, not measured: a relaxed TmRhAu crystal at the PBE level of DFT.

Results
Space-group type: I4mm, No. 107
M_tot: 0.00 μB/cell

Cell: 3.5157 3.5157 5.2559 Å, 109.54 109.54 90.00°
Element x y z (fractional)
Rh (0.9552, 0.9552, 0.9104)
Au (0.2854, 0.2854, 0.5709)
Tm (0.6094, 0.6094, 0.2187)

Relative energies, in eV/atom, with the most stable structure set to zero: i 0.130; ii 0.076; iii 0.000; iv 0.049.

## i
Computed, not measured: a relaxed Tm8RhAu2 crystal at the PBE level of DFT.

Results
Space-group type: C2/m, No. 12
M_tot: 0.00 μB/cell

Cell: 5.0619 6.7038 8.9676 Å, 105.88 106.39 90.00°
Element x y z (fractional)
Au (0.8137, 0.2790, 0.6274)
Rh (0.5000, 0.0000, 0.0000)
Tm (0.7983, 0.6880, 0.5967)
Tm (0.5903, 0.4375, 0.1805)
Tm (0.6607, 0.9675, 0.3214)
Au (0.1863, 0.7210, 0.3726)
Tm (0.0289, 0.7874, 0.0577)
Tm (0.2017, 0.3120, 0.4033)
Tm (0.3393, 0.0325, 0.6786)
Tm (0.4097, 0.5625, 0.8195)
Tm (0.9711, 0.2126, 0.9423)

## ii
Computed, not measured: a relaxed Tm8RhAu2 crystal at the PBE level of DFT.

Results
Space-group type: Cm, No. 8
M_tot: 0.00 μB/cell

Cell: 5.7795 8.0421 8.0421 Å, 119.87 102.31 102.31°
Element x y z (fractional)
Rh (0.1406, 0.0023, 0.0023)
Au (0.5058, 0.3087, 0.7191)
Tm (0.6060, 0.1100, 0.3465)
Tm (0.1864, 0.3596, 0.3596)
Tm (0.3472, 0.8937, 0.6541)
Tm (0.3472, 0.6541, 0.8937)
Tm (0.9847, 0.8034, 0.1913)
Tm (0.6060, 0.3465, 0.1100)
Tm (0.7852, 0.6451, 0.6451)
Tm (0.9847, 0.1913, 0.8034)
Au (0.5058, 0.7191, 0.3087)

Relative energies, in eV/atom, with the most stable structure set to zero: i 0.000; ii 0.118.